# TaFe2Br PBE-GGA optimized geometry
data_TaFe2Br
_chemical_formula_sum 'Ta4 Fe8 Br4'
_symmetry_space_group_name_H-M 'F -4 3 m'
_symmetry_Int_Tables_number 216
_symmetry_space_group_name_Hall 'F -4 2 3'
_cell_length_a 6.2325
_cell_length_b 6.2325
_cell_length_c 6.2325
_cell_angle_alpha 90.00
_cell_angle_beta 90.00
_cell_angle_gamma 90.00
loop_
_atom_site_label
_atom_site_fract_x
_atom_site_fract_y
_atom_site_fract_z
_atom_site_occupancy
Ta1 0.0000 0.0000 0.0000 1
Fe1 0.0000 0.0000 0.5000 1
Fe2 0.2500 0.2500 0.7500 1
Br1 0.2500 0.2500 0.2500 1
# formation energy without anion corrections = 3.009 eV/f.u.
# energy above the most stable polymorph in this dataset = 490 meV/atom
# total magnetic moment = 3.98 μB/f.u.